First-principles (meta-GGA SCAN) data for CuAsBr at its PBEsol-relaxed geometry, as listed in the Alexandria database.

Geometry as POSCAR:
```
CuAsBr
1.0
3.4698 0.0000 0.0000
0.0000 3.4698 0.0000
-1.7349 -1.7349 5.3209
As Br Cu
1 1 1
Direct
0.8997 0.8997 0.7993
0.6695 0.6695 0.3391
0.4308 0.4308 0.8616
```

- Relative energy among the computed polymorphs: 0.000 eV per atom
- Mass density: 5.66 g cm⁻³
- E: -18.2280 eV/atom
- M_tot: 0.0 μB/f.u.
- Formation energy (no corrections): 0.055 eV/atom